No. 1
Computed, not measured: a relaxed structure of Ca2TlCl at the PBE level of DFT.

Energy relative to the lowest polymorph listed for this composition in meV/atom: 100
Formation energy from raw total energies in eV/f.u.: -3.819

Geometry as CIF:
```
data_Ca2TlCl
_cell_length_a 15.966
_cell_length_b 3.889
_cell_length_c 3.995
_cell_angle_alpha 90.00
_cell_angle_beta 90.09
_cell_angle_gamma 90.00
_symmetry_space_group_name_H-M 'C 1 m 1'
_symmetry_Int_Tables_number 8
_symmetry_space_group_name_Hall 'C -2y'
loop_
_atom_site_label
_atom_site_type_symbol
_atom_site_fract_x
_atom_site_fract_y
_atom_site_fract_z
Ca1 Ca 0.000 0.000 0.000
Ca2 Ca 0.245 0.500 0.502
Tl1 Tl 0.342 0.000 0.003
Cl1 Cl 0.068 0.500 0.501
```

***

No. 2
Computed, not measured: a relaxed structure of Ti3Zn3Co2 at the PBE level of DFT.

Formation energy from the elements in eV per atom: -0.31

Geometry as CIF:
```
data_Ti3Zn3Co2
_cell_length_a 6.6958
_cell_length_b 6.6958
_cell_length_c 2.9559
_cell_angle_alpha 90.00
_cell_angle_beta 90.00
_cell_angle_gamma 120.00
_symmetry_space_group_name_H-M 'P -6 2 m'
_symmetry_Int_Tables_number 189
_symmetry_space_group_name_Hall 'P -6 -2'
loop_
_atom_site_label
_atom_site_type_symbol
_atom_site_fract_x
_atom_site_fract_y
_atom_site_fract_z
Ti1 Ti 0.0000 0.4259 0.0000
Zn1 Zn 0.0000 0.7726 0.5000
Co1 Co 0.3333 0.6667 0.5000
```

***

No. 3
Computed, not measured: a relaxed structure of NdGd2Hf at the PBE level of DFT.

Energy relative to the lowest polymorph listed for this composition in meV/atom: 269
Formation energy from the elements in eV per atom: 0.38

Geometry as CIF:
```
data_NdGd2Hf
_cell_length_a 3.3753
_cell_length_b 3.3753
_cell_length_c 36.5869
_cell_angle_alpha 90.00
_cell_angle_beta 90.00
_cell_angle_gamma 120.00
_symmetry_space_group_name_H-M 'R -3 m'
_symmetry_Int_Tables_number 166
_symmetry_space_group_name_Hall '-R 3 2"'
loop_
_atom_site_label
_atom_site_type_symbol
_atom_site_fract_x
_atom_site_fract_y
_atom_site_fract_z
Nd1 Nd 0.0000 0.0000 0.0000
Gd1 Gd 0.0000 0.0000 0.4157
Hf1 Hf 0.0000 0.0000 0.5000
```